a | A plane-wave DFT calculation with PBE-GGA was carried out for a relaxed structure of AlCu5Au4.

Values from the calculation:
Magnetic moment: 0.00 μB per formula unit

The structure in POSCAR format:
```
AlCu5Au4
1.0
-3.736 2.764 -0.176
-2.118 -1.225 -4.884
-1.687 -4.917 3.512
Cu Au Al
5 4 1
Cartesian
-1.529 -1.192 -1.324
-2.542 -2.477 1.030
-6.012 -2.187 -0.223
-4.999 -0.901 -2.577
-2.927 0.769 -2.530
-3.833 -0.351 -0.218
-2.703 -1.743 -3.673
-4.839 -1.636 2.126
-3.708 -3.027 -1.329
-1.868 1.382 -0.088
```

=====

b | A plane-wave DFT calculation with PBE-GGA was carried out for a relaxed structure of AlCu5Au4.

Values from the calculation:
Magnetic moment: 0.00 μB per formula unit

The structure in POSCAR format:
```
AlCu5Au4
1.0
4.558 0.000 0.000
0.000 8.691 0.000
0.000 0.000 7.789
Au Cu Al
8 10 2
Cartesian
0.369 4.345 6.326
3.467 5.917 3.894
1.091 1.572 0.000
4.188 0.000 2.432
0.369 4.345 1.463
1.091 7.119 0.000
3.467 2.773 3.894
4.188 0.000 5.357
3.340 2.257 6.516
1.218 6.602 2.622
3.340 2.257 1.273
3.340 6.434 1.273
1.218 6.602 5.167
1.218 2.089 5.167
2.599 4.345 0.000
1.218 2.089 2.622
1.959 0.000 3.894
3.340 6.434 6.516
1.332 4.345 3.894
3.226 0.000 0.000
```

=====

Energy relative to the most stable one, in meV per atom: a 0; b 66

=====

a | A plane-wave DFT calculation with PBE-GGA was carried out for a relaxed structure of Al3Cu2Au4.

Values from the calculation:
Magnetic moment: 0.00 μB per formula unit

The structure in POSCAR format:
```
Al3Cu2Au4
1.0
4.605 0.147 0.498
0.678 7.580 2.957
0.362 -0.154 8.155
Au Cu Al
8 4 6
Cartesian
2.856 7.155 4.579
3.798 6.279 7.654
1.423 4.431 8.598
0.722 6.116 2.903
4.923 1.456 8.708
2.788 0.418 7.032
4.222 3.142 3.013
1.847 1.294 3.957
1.568 5.392 6.103
1.851 3.971 4.007
4.077 2.181 5.508
3.794 3.602 7.604
1.632 2.804 6.317
3.502 5.220 10.195
4.012 4.769 5.294
2.143 2.352 1.416
4.362 0.378 3.042
1.283 7.195 8.569
```

=====

b | A plane-wave DFT calculation with PBE-GGA was carried out for a relaxed structure of Al3Cu2Au4.

Values from the calculation:
Magnetic moment: 0.00 μB per formula unit

The structure in POSCAR format:
```
Al3Cu2Au4
1.0
4.624 -0.535 -0.383
-0.423 8.200 0.151
-0.423 2.785 7.714
Au Cu Al
8 4 6
Cartesian
3.290 6.889 3.587
4.079 3.792 7.184
0.487 3.562 3.896
-0.302 6.659 0.298
2.799 4.568 1.926
2.010 2.161 6.016
1.767 8.290 1.467
0.978 5.883 5.557
1.149 8.335 4.417
0.317 3.851 1.206
3.461 6.600 6.276
2.628 2.116 3.066
2.407 2.470 0.287
0.733 6.125 2.768
1.371 7.981 7.196
3.045 4.327 4.715
3.683 9.116 5.046
0.095 1.335 2.437
```

=====

Energy relative to the most stable one, in meV per atom: a 15; b 0

=====

a | A plane-wave DFT calculation with PBE-GGA was carried out for a relaxed structure of AlCu6Au.

Values from the calculation:
Magnetic moment: 0.00 μB per formula unit

The structure in POSCAR format:
```
AlCu6Au
1.0
4.329 0.000 0.000
0.000 4.662 -2.495
0.000 -0.173 5.285
Cu Al Au
6 1 1
Cartesian
2.164 4.260 -1.848
2.164 1.927 -0.599
0.000 2.587 3.439
2.164 4.173 0.797
0.000 2.677 0.699
0.000 0.260 1.993
0.000 0.229 4.637
2.164 1.842 2.043
```

=====

b | A plane-wave DFT calculation with PBE-GGA was carried out for a relaxed structure of AlCu6Au.

Values from the calculation:
Magnetic moment: 0.00 μB per formula unit

The structure in POSCAR format:
```
AlCu6Au
1.0
-1.906 4.396 1.383
-4.693 -1.680 0.128
0.147 -1.072 4.868
Cu Au Al
6 1 1
Cartesian
-3.712 1.978 5.290
-1.002 -0.116 2.791
-5.450 1.760 3.588
-4.713 -0.204 4.839
-2.740 -0.335 1.089
-1.739 1.847 1.539
0.000 0.000 0.000
-3.226 0.822 3.189
```

=====

Energy relative to the most stable one, in meV per atom: a 0; b 347

=====

a | A plane-wave DFT calculation with PBE-GGA was carried out for a relaxed structure of Al2CuAu5.

Values from the calculation:
Magnetic moment: 0.00 μB per formula unit

The structure in POSCAR format:
```
Al2CuAu5
1.0
4.348 0.000 0.000
0.000 5.547 0.000
0.000 0.000 11.031
Au Cu Al
10 2 4
Cartesian
0.000 0.669 2.945
2.174 4.496 4.291
2.174 3.824 9.807
0.000 2.773 5.515
2.174 1.051 6.739
0.000 2.105 8.460
0.000 4.878 8.085
0.000 3.442 2.570
0.000 0.000 0.000
2.174 1.722 1.224
0.000 2.773 0.000
0.000 0.000 5.515
2.174 1.740 4.107
2.174 4.513 1.409
2.174 3.807 6.924
2.174 1.033 9.622
```

=====

b | A plane-wave DFT calculation with PBE-GGA was carried out for a relaxed structure of Al2CuAu5.

Values from the calculation:
Magnetic moment: 0.00 μB per formula unit

The structure in POSCAR format:
```
Al2CuAu5
1.0
3.281 0.000 0.000
-1.641 8.561 0.000
0.000 0.000 10.987
Cu Al Au
2 4 10
Cartesian
0.000 2.397 2.747
1.641 6.164 8.240
1.641 6.326 5.436
0.000 2.236 10.930
1.641 6.326 0.057
0.000 2.236 5.551
0.000 0.175 4.125
0.000 0.175 1.369
1.641 4.038 9.778
0.000 4.523 4.285
1.641 8.386 9.618
0.000 4.523 1.209
1.641 8.386 6.862
1.641 4.038 6.702
1.641 6.313 2.747
0.000 2.248 8.240
```

=====

Energy relative to the most stable one, in meV per atom: a 0; b 158

=====

a | A plane-wave DFT calculation with PBE-GGA was carried out for a relaxed structure of DyAl3Au.

Values from the calculation:
Magnetic moment: 0.00 μB per formula unit

The structure in POSCAR format:
```
DyAl3Au
1.0
3.952 0.000 1.364
-0.471 3.923 1.367
0.015 0.012 6.353
Au Al Dy
1 3 1
Cartesian
-0.309 3.226 5.412
0.389 1.787 3.391
2.871 2.360 2.606
2.128 3.749 4.757
1.467 0.773 6.662
```

=====

b | A plane-wave DFT calculation with PBE-GGA was carried out for a relaxed structure of DyAl3Au.

Values from the calculation:
Magnetic moment: 0.00 μB per formula unit

The structure in POSCAR format:
```
DyAl3Au
1.0
4.237 0.000 0.000
0.000 8.415 0.000
0.000 0.000 10.994
Al Dy Au
12 4 4
Cartesian
3.178 7.796 6.556
1.059 7.531 8.864
1.059 3.323 7.627
3.178 3.589 9.935
1.059 0.619 4.438
3.178 0.885 2.130
1.059 4.827 1.059
3.178 5.329 7.790
1.059 7.294 2.293
3.178 5.092 3.367
1.059 3.087 3.205
3.178 1.121 8.702
3.178 2.679 5.417
1.059 1.528 10.915
1.059 5.736 5.577
3.178 6.887 0.080
1.059 5.070 9.463
3.178 7.553 3.966
3.178 3.346 1.531
1.059 0.862 7.028
```

=====

Energy relative to the most stable one, in meV per atom: a 0; b 77

=====

a | A plane-wave DFT calculation with PBE-GGA was carried out for a relaxed structure of Dy3Al8Au3.

Values from the calculation:
Magnetic moment: 0.00 μB per formula unit

The structure in POSCAR format:
```
Dy3Al8Au3
1.0
-3.985 -1.722 0.371
1.091 -7.159 4.062
-2.313 1.526 7.828
Al Dy Au
8 3 3
Cartesian
-4.576 -4.070 8.710
-0.631 -3.286 3.552
-3.700 -6.305 7.741
-3.210 -1.727 8.678
-1.507 -1.051 4.521
-3.921 -0.719 5.712
-1.997 -5.630 3.583
-1.286 -6.637 6.549
-3.461 -2.463 2.554
-1.745 -4.893 9.708
-2.603 -3.678 6.131
-1.555 -0.408 6.989
-1.992 -0.861 0.185
0.333 -5.225 4.901
```

=====

b | A plane-wave DFT calculation with PBE-GGA was carried out for a relaxed structure of Dy3Al8Au3.

Values from the calculation:
Magnetic moment: 0.00 μB per formula unit

The structure in POSCAR format:
```
Dy3Al8Au3
1.0
4.226 0.000 1.115
1.469 7.612 2.999
0.085 -0.493 8.246
Al Au Dy
8 3 3
Cartesian
0.848 0.774 5.354
2.634 2.001 7.150
4.260 7.003 9.554
1.520 0.117 2.805
3.146 5.118 5.210
4.932 6.345 7.006
1.466 4.306 3.009
4.313 2.814 9.351
0.777 3.560 5.622
3.883 4.908 10.981
1.896 2.212 1.379
0.000 0.000 0.000
2.350 4.970 8.226
3.430 2.150 4.134
```

=====

Energy relative to the most stable one, in meV per atom: a 38; b 0

=====

a | A plane-wave DFT calculation with PBE-GGA was carried out for a relaxed structure of DyAl2Au8.

Values from the calculation:
Magnetic moment: 0.00 μB per formula unit

The structure in POSCAR format:
```
DyAl2Au8
1.0
4.104 0.000 -1.180
-0.852 6.946 -2.965
-0.092 -0.402 7.409
Au Al Dy
8 2 1
Cartesian
2.759 4.692 1.869
-0.465 5.082 -1.618
2.005 6.103 -0.752
1.111 3.357 3.865
2.049 3.188 -0.600
1.155 0.441 4.017
3.625 1.462 4.883
0.401 1.853 1.396
0.269 4.669 0.936
2.891 1.875 2.329
2.052 0.000 -0.590
```

=====

b | A plane-wave DFT calculation with PBE-GGA was carried out for a relaxed structure of DyAl2Au8.

Values from the calculation:
Magnetic moment: 0.00 μB per formula unit

The structure in POSCAR format:
```
DyAl2Au8
1.0
-3.091 4.365 2.054
-4.806 -2.574 -1.763
-0.555 -3.529 6.666
Au Al Dy
8 2 1
Cartesian
-4.510 -1.659 0.643
-4.819 -3.628 4.362
-6.400 -1.395 5.413
-2.361 -2.312 5.264
-2.052 -0.343 1.545
-3.633 1.890 2.595
-6.091 0.574 1.694
-3.942 -0.079 6.314
-1.546 2.183 1.027
-2.403 -1.287 -0.881
-4.226 -0.869 3.479
```

=====

Energy relative to the most stable one, in meV per atom: a 0; b 186

=====

a | A plane-wave DFT calculation with PBE-GGA was carried out for a relaxed structure of Dy2AlAu.

Values from the calculation:
Magnetic moment: 0.00 μB per formula unit

The structure in POSCAR format:
```
Dy2AlAu
1.0
-1.048 3.395 0.113
-0.750 -0.347 3.458
6.952 2.088 1.716
Al Dy Au
1 2 1
Cartesian
2.577 2.569 2.644
5.260 1.580 1.299
1.692 0.508 0.418
-0.899 1.524 1.786
```

=====

b | A plane-wave DFT calculation with PBE-GGA was carried out for a relaxed structure of Dy2AlAu.

Values from the calculation:
Magnetic moment: 0.00 μB per formula unit

The structure in POSCAR format:
```
Dy2AlAu
1.0
5.132 0.000 0.000
2.566 4.445 0.000
2.566 1.482 4.191
Al Dy Au
1 2 1
Cartesian
5.132 2.963 2.095
7.698 4.445 3.143
2.566 1.482 1.048
0.000 0.000 0.000
```

=====

Energy relative to the most stable one, in meV per atom: a 0; b 52

=====

a | A plane-wave DFT calculation with PBE-GGA was carried out for a relaxed structure of DyAl2Au3.

Values from the calculation:
Magnetic moment: 0.00 μB per formula unit

The structure in POSCAR format:
```
DyAl2Au3
1.0
4.231 0.000 0.000
-2.116 8.051 -2.680
0.000 -0.011 10.349
Al Au Dy
6 9 3
Cartesian
0.000 5.818 3.829
2.116 0.532 7.838
2.116 2.222 3.841
0.000 3.225 0.207
2.116 4.815 7.463
0.000 7.509 -0.168
0.000 5.267 -1.241
0.000 0.647 3.237
2.116 -0.005 5.175
0.000 3.579 2.741
2.116 2.774 8.911
2.116 4.462 4.928
0.000 6.193 6.448
2.116 7.394 4.433
2.116 1.847 1.221
0.000 0.000 0.000
0.000 2.469 6.315
2.116 5.572 1.355
```

=====

b | A plane-wave DFT calculation with PBE-GGA was carried out for a relaxed structure of DyAl2Au3.

Values from the calculation:
Magnetic moment: 0.00 μB per formula unit

The structure in POSCAR format:
```
DyAl2Au3
1.0
5.649 0.000 0.000
0.000 6.554 -0.084
0.000 -1.399 6.404
Au Al Dy
6 4 2
Cartesian
1.412 5.056 6.198
1.412 4.809 3.402
1.412 2.366 5.394
4.237 2.789 0.925
4.237 0.346 2.918
4.237 0.100 0.122
2.825 0.310 5.010
2.825 4.845 1.310
0.000 4.845 1.310
0.000 0.310 5.010
1.412 1.777 2.178
4.237 3.379 4.142
```

=====

Energy relative to the most stable one, in meV per atom: a 0; b 20

=====

a | A plane-wave DFT calculation with PBE-GGA was carried out for a relaxed structure of DyAl3Au3.

Values from the calculation:
Magnetic moment: 0.00 μB per formula unit

The structure in POSCAR format:
```
DyAl3Au3
1.0
-6.853 0.273 -0.926
-0.964 -2.205 6.489
-0.039 6.555 2.221
Dy Au Al
2 6 6
Cartesian
-3.928 2.312 3.892
0.000 0.000 0.000
-0.511 3.814 4.910
-0.492 0.536 3.800
-5.159 3.482 0.416
-1.733 3.346 0.879
-4.150 -1.517 4.404
-3.668 -0.414 1.159
-2.195 -1.034 3.013
-3.456 5.053 1.203
-0.260 2.726 2.733
-0.743 1.624 5.977
-5.622 -0.897 2.550
-3.436 1.775 0.092
```

=====

b | A plane-wave DFT calculation with PBE-GGA was carried out for a relaxed structure of DyAl3Au3.

Values from the calculation:
Magnetic moment: 0.00 μB per formula unit

The structure in POSCAR format:
```
DyAl3Au3
1.0
-2.784 -7.121 -2.715
-1.697 -5.957 5.241
-6.359 -2.614 1.251
Al Au Dy
6 6 2
Cartesian
-6.560 -8.117 -0.728
-5.648 -10.575 1.042
-5.191 -5.117 2.735
-6.680 -9.524 3.841
-4.280 -7.575 4.505
-4.159 -6.168 -0.064
-4.135 -8.608 -1.005
-6.704 -7.084 4.782
-4.475 -10.582 3.380
-6.365 -5.110 0.397
-7.948 -9.637 0.887
-2.892 -6.055 2.890
-1.615 -4.316 0.852
-9.224 -11.376 2.925
```

=====

Energy relative to the most stable one, in meV per atom: a 288; b 0